Entry 1:
NaAc4Sm3Se8 | Alexandria via LeMat-Bulk | PBE | optimized geometry; volume = 458.8 Å³ per cell; energy relative to the elements, uncorrected = -28.76 eV per formula unit; symmetry = R-3m; magnetization = 0.00 μB per atom; electronic total energy = -5.53 eV/atom
1.0
-0.048 -6.643 5.574
-0.658 -5.536 -6.604
6.459 5.783 0.202
Na Ac Sm Se
1 4 3 8
Cartesian
-0.329 -2.768 -3.302
-0.024 -3.322 2.787
3.206 -0.430 2.888
0.000 0.000 0.000
3.229 2.891 0.101
-0.353 -6.090 -0.515
2.876 -3.198 -0.414
2.900 0.123 -3.201
5.881 0.052 -3.265
2.647 -2.847 -3.370
3.119 -0.229 -0.247
5.857 -3.274 -0.474
-0.105 -3.122 -0.354
2.633 -6.167 -0.582
3.106 -3.550 2.542
-0.129 -6.449 2.437

=====

Entry 2:
NaAc2SmSe5 | Alexandria via LeMat-Bulk | PBE | optimized geometry; volume = 519.6 Å³ per cell; energy relative to the elements, uncorrected = -16.14 eV per formula unit; symmetry = Cmc2_1; magnetization = 0.00 μB per atom; electronic total energy = -5.31 eV/atom
1.0
4.387 0.000 0.000
-2.194 8.970 0.000
0.000 0.000 13.203
Na Ac Sm Se
2 4 2 10
Cartesian
2.194 0.563 12.804
0.000 8.408 6.203
2.194 6.615 10.534
0.000 1.862 9.019
0.000 2.356 3.932
2.194 7.109 2.418
2.194 5.333 6.689
0.000 3.637 0.088
0.000 6.561 13.182
2.194 3.391 11.290
0.000 8.879 10.186
0.000 5.024 8.725
2.194 7.947 7.666
2.194 2.409 6.581
0.000 5.580 4.688
2.194 0.091 3.585
2.194 3.946 2.124
0.000 1.023 1.065

=====

Entry 3:
Na2Ac3SmSe6 | Alexandria via LeMat-Bulk | PBE | optimized geometry; volume = 353.6 Å³ per cell; energy relative to the elements, uncorrected = -20.94 eV per formula unit; symmetry = C2/m; magnetization = 0.00 μB per atom; electronic total energy = -5.13 eV/atom
1.0
7.635 0.003 0.004
-3.813 6.615 0.004
-1.271 -2.201 6.998
Na Ac Sm Se
2 3 1 6
Cartesian
0.012 4.406 0.004
3.810 2.212 0.004
-2.504 4.391 3.503
5.054 0.026 3.503
1.275 2.208 3.503
0.000 0.000 0.000
3.797 2.248 5.357
2.574 4.458 1.695
-1.247 2.169 1.648
0.049 4.413 5.357
-0.024 -0.041 5.310
2.502 0.004 1.648

=====

Entry 4:
NaAcSnSe3 | Alexandria via LeMat-Bulk | PBE | optimized geometry; volume = 394.6 Å³ per cell; energy relative to the elements, uncorrected = -7.30 eV per formula unit; symmetry = P2_1/m; magnetization = 0.00 μB per atom; electronic total energy = -4.53 eV/atom
1.0
-0.516 1.395 -4.003
-0.207 -8.529 -2.945
-10.128 1.103 1.691
Na Ac Sn Se
2 2 2 6
Cartesian
-6.155 -0.227 -0.424
-4.697 -5.804 -4.833
-2.195 -0.773 -1.125
-8.657 -5.258 -4.132
-1.623 -5.093 -2.704
-9.229 -0.937 -2.553
-1.729 -6.384 -5.418
-9.122 0.353 0.161
-6.218 -5.950 -2.410
-4.634 -0.081 -2.847
-1.767 -2.240 -3.969
-9.085 -3.791 -1.288